Computed, not measured: crystalline SrH3 at its relaxed geometry at the GGA-PBE level of DFT.

a b c (Å): 3.990 3.998 3.989
angles (deg): 120.08 120.01 90.00
Element x y z (fractional)
H: 0.249 0.666 0.499
H: 0.500 0.417 0.000
H: 0.751 0.167 0.501
Sr: 0.000 0.917 0.000

- SG: I4/mmm (139)
- Raw total energy: -11.9 eV/cell
- Crystal system: tetragonal
- Total moment: 0.000 μB/atom